[1]
# PmBeGa2Rh2 | the Alexandria database | GGA-PBE | optimized geometry
# **DFT formation energy**: -0.65 eV per atom
# **DFT total energy**: -5.52 eV per atom
data_PmBeGa2Rh2
_space_group_name_H-M_alt 'P 4/m m m'
_space_group_IT_number 123
_space_group_name_Hall '-P 4 2'
_cell_length_a 4.2390
_cell_length_b 4.2390
_cell_length_c 5.6529
_cell_angle_alpha 90.00
_cell_angle_beta 90.00
_cell_angle_gamma 90.00
loop_
_atom_site_label
_atom_site_type_symbol
_atom_site_fract_x
_atom_site_fract_y
_atom_site_fract_z
Pm1 Pm 0.0000 0.0000 0.0000
Be1 Be 0.0000 0.0000 0.5000
Ga1 Ga 0.5000 0.5000 0.2313
Rh1 Rh 0.0000 0.5000 0.5000



[2]
# La2Sm3Zn3 | the Alexandria database | GGA-PBE | optimized geometry
# **DFT formation energy**: -0.21 eV per atom
# **DFT total energy**: -3.69 eV per atom
data_La2Sm3Zn3
_space_group_name_H-M_alt 'I m m m'
_space_group_IT_number 71
_space_group_name_Hall '-I 2 2'
_cell_length_a 3.7328
_cell_length_b 5.2459
_cell_length_c 22.4163
_cell_angle_alpha 90.00
_cell_angle_beta 90.00
_cell_angle_gamma 90.00
loop_
_atom_site_label
_atom_site_type_symbol
_atom_site_fract_x
_atom_site_fract_y
_atom_site_fract_z
La1 La 0.0000 0.0000 0.2267
Sm1 Sm 0.0000 0.0000 0.0000
Sm2 Sm 0.0000 0.5000 0.1134
Zn1 Zn 0.0000 0.0000 0.5000
Zn2 Zn 0.0000 0.5000 0.3894